# 1
NbCoP: relaxed, GGA-PBEsol.

Cell: 6.082 3.575 6.897 Å, 90.00 90.00 90.00°
Fractional positions:
Nb (0.025, 0.250, 0.173)
Nb (0.475, 0.750, 0.673)
Nb (0.525, 0.250, 0.327)
Nb (0.975, 0.750, 0.827)
Co (0.146, 0.250, 0.561)
Co (0.354, 0.750, 0.061)
Co (0.646, 0.250, 0.939)
Co (0.854, 0.750, 0.439)
P (0.221, 0.750, 0.380)
P (0.279, 0.250, 0.880)
P (0.721, 0.750, 0.120)
P (0.779, 0.250, 0.620)

Its crystal system is orthorhombic. Its calculated volume is 150.0 Å³/cell. The value obtained for the formation enthalpy at 0 K is -0.983 eV per atom.


# 2
LiBe2Ru: relaxed, GGA-PBEsol.

Cell: 3.701 3.701 2.924 Å, 90.00 90.00 90.00°
Fractional positions:
Li (0.000, 0.000, 0.000)
Be (0.000, 0.500, 0.500)
Be (0.500, 0.000, 0.500)
Ru (0.500, 0.500, 0.000)

Its crystal system is tetragonal. Its calculated volume is 40.1 Å³/cell. The value obtained for the formation enthalpy at 0 K is -0.152 eV per atom.


# 3
CaIn3: relaxed, GGA-PBEsol.

Cell: 5.796 5.796 5.796 Å, 133.54 133.54 67.80°
Fractional positions:
Ca (0.000, 0.000, 0.000)
In (0.250, 0.750, 0.500)
In (0.500, 0.500, 0.000)
In (0.750, 0.250, 0.500)

Its crystal system is tetragonal. Its calculated volume is 100.5 Å³/cell. The value obtained for the formation enthalpy at 0 K is -0.326 eV per atom.


# 4
Rb2FeAuN: relaxed, GGA-PBEsol.

Cell: 6.181 6.181 4.726 Å, 90.00 90.00 90.00°
Fractional positions:
Rb (0.000, 0.500, 0.000)
Rb (0.500, 0.000, 0.000)
Fe (0.000, 0.000, 0.000)
Au (0.000, 0.000, 0.500)
N (0.500, 0.500, 0.500)

Its crystal system is tetragonal. Its calculated volume is 180.6 Å³/cell. The formation energy (no corrections) is 1.42 eV per atom.


# 5
Sr2LiTl: relaxed, GGA-PBEsol.

Cell: 6.601 6.601 5.808 Å, 109.93 109.93 34.38°
Fractional positions:
Sr (0.000, 0.000, 0.000)
Sr (0.205, 0.205, 0.661)
Li (0.782, 0.782, 0.240)
Tl (0.458, 0.458, 0.471)

Its crystal system is monoclinic. The value obtained for the distance to the lowest polymorph of the same formula is 52 meV/atom. Its calculated volume is 133.5 Å³/cell. The value obtained for the formation enthalpy at 0 K is -0.218 eV per atom.


# 6
SrZrPt2: relaxed, GGA-PBEsol.

Cell: 5.518 5.518 5.518 Å, 136.39 136.39 63.38°
Fractional positions:
Sr (0.000, 0.000, 0.000)
Zr (0.750, 0.250, 0.500)
Pt (0.250, 0.750, 0.500)
Pt (0.500, 0.500, 0.000)

Its crystal system is tetragonal. The value obtained for the distance to the lowest polymorph of the same formula is 466 meV/atom. Its calculated volume is 78.9 Å³/cell. The value obtained for the formation enthalpy at 0 K is -0.408 eV per atom.


We obtain total magnetization values of 0.000 0.000 0.000 1.000 0.000 0.000 μB/atom for the records listed above, in that order.